# 1
# PBE SrSi2IrPd2, optimized geometry
# Electronic total energy, eV/atom: -5.683
# Size of the total moment, μB per cell: 0.00
# E_form (uncorrected), eV/atom: -0.39
data_SrSi2IrPd2
_symmetry_space_group_name_H-M 'P 1'
_symmetry_Int_Tables_number 1
_cell_length_a 4.588
_cell_length_b 4.588
_cell_length_c 5.834
_cell_angle_alpha 90.00
_cell_angle_beta 90.00
_cell_angle_gamma 90.00
loop_
_symmetry_equiv_pos_as_xyz
'x,y,z'
loop_
_atom_site_label
_atom_site_type_symbol
_atom_site_fract_x
_atom_site_fract_y
_atom_site_fract_z
Pd1 Pd 0.500 0.500 0.759
Pd2 Pd 0.500 0.500 0.241
Si1 Si 0.000 0.500 0.000
Si2 Si 0.500 0.000 0.000
Sr1 Sr 0.000 0.000 0.500
Ir1 Ir 0.000 0.000 0.000

=====

# 2
# PBE SrSi3IrPd, optimized geometry
# Electronic total energy, eV/atom: -5.813
# Size of the total moment, μB per cell: 0.00
# E_form (uncorrected), eV/atom: -0.48
data_SrSi3IrPd
_symmetry_space_group_name_H-M 'P 1'
_symmetry_Int_Tables_number 1
_cell_length_a 6.019
_cell_length_b 6.438
_cell_length_c 7.206
_cell_angle_alpha 116.53
_cell_angle_beta 90.00
_cell_angle_gamma 90.00
loop_
_symmetry_equiv_pos_as_xyz
'x,y,z'
loop_
_atom_site_label
_atom_site_type_symbol
_atom_site_fract_x
_atom_site_fract_y
_atom_site_fract_z
Ir1 Ir 0.750 0.898 0.796
Ir2 Ir 0.250 0.102 0.204
Sr1 Sr 0.250 0.727 0.454
Sr2 Sr 0.750 0.273 0.546
Si1 Si 0.500 0.792 0.000
Si2 Si 0.000 0.208 0.000
Si3 Si 0.750 0.725 0.451
Si4 Si 0.000 0.792 0.000
Si5 Si 0.250 0.275 0.549
Si6 Si 0.500 0.208 0.000
Pd1 Pd 0.250 0.450 0.901
Pd2 Pd 0.750 0.550 0.099

=====

# 3
# PBE TbSi2IrPd2, optimized geometry
# Electronic total energy, eV/atom: -6.237
# Size of the total moment, μB per cell: 0.00
# E_form (uncorrected), eV/atom: -0.45
data_TbSi2IrPd2
_symmetry_space_group_name_H-M 'P 1'
_symmetry_Int_Tables_number 1
_cell_length_a 4.559
_cell_length_b 4.559
_cell_length_c 5.556
_cell_angle_alpha 90.00
_cell_angle_beta 90.00
_cell_angle_gamma 90.00
loop_
_symmetry_equiv_pos_as_xyz
'x,y,z'
loop_
_atom_site_label
_atom_site_type_symbol
_atom_site_fract_x
_atom_site_fract_y
_atom_site_fract_z
Si1 Si 0.000 0.500 0.000
Si2 Si 0.500 0.000 0.000
Ir1 Ir 0.000 0.000 0.000
Tb1 Tb 0.000 0.000 0.500
Pd1 Pd 0.500 0.500 0.746
Pd2 Pd 0.500 0.500 0.254

=====

# 4
# PBE Th2Si4IrPd3, optimized geometry
# Electronic total energy, eV/atom: -7.026
# Size of the total moment, μB per cell: 0.00
# E_form (uncorrected), eV/atom: -0.93
data_Th2Si4IrPd3
_symmetry_space_group_name_H-M 'P 1'
_symmetry_Int_Tables_number 1
_cell_length_a 4.248
_cell_length_b 4.248
_cell_length_c 9.931
_cell_angle_alpha 90.00
_cell_angle_beta 90.00
_cell_angle_gamma 90.00
loop_
_symmetry_equiv_pos_as_xyz
'x,y,z'
loop_
_atom_site_label
_atom_site_type_symbol
_atom_site_fract_x
_atom_site_fract_y
_atom_site_fract_z
Pd1 Pd 0.000 0.500 0.122
Pd2 Pd 0.500 0.000 0.878
Pd3 Pd 0.000 0.000 0.500
Si1 Si 0.000 0.500 0.370
Si2 Si 0.500 0.000 0.630
Si3 Si 0.500 0.500 0.000
Si4 Si 0.000 0.000 0.000
Th1 Th 0.500 0.000 0.251
Th2 Th 0.000 0.500 0.749
Ir1 Ir 0.500 0.500 0.500

=====

# 5
# PBE U2Si4Ir3Pd, optimized geometry
# Electronic total energy, eV/atom: -8.330
# Size of the total moment, μB per cell: 3.70
# E_form (uncorrected), eV/atom: -0.73
data_U2Si4Ir3Pd
_symmetry_space_group_name_H-M 'P 1'
_symmetry_Int_Tables_number 1
_cell_length_a 4.111
_cell_length_b 4.111
_cell_length_c 9.981
_cell_angle_alpha 90.00
_cell_angle_beta 90.00
_cell_angle_gamma 90.00
loop_
_symmetry_equiv_pos_as_xyz
'x,y,z'
loop_
_atom_site_label
_atom_site_type_symbol
_atom_site_fract_x
_atom_site_fract_y
_atom_site_fract_z
U1 U 0.500 0.000 0.242
U2 U 0.000 0.500 0.758
Ir1 Ir 0.000 0.000 0.500
Ir2 Ir 0.000 0.500 0.127
Ir3 Ir 0.500 0.000 0.873
Si1 Si 0.000 0.500 0.364
Si2 Si 0.500 0.500 0.000
Si3 Si 0.000 0.000 0.000
Si4 Si 0.500 0.000 0.636
Pd1 Pd 0.500 0.500 0.500

=====

# 6
# PBE USi2IrPd, optimized geometry
# Electronic total energy, eV/atom: -7.902
# Size of the total moment, μB per cell: 2.25
# E_form (uncorrected), eV/atom: -0.66
data_USi2IrPd
_symmetry_space_group_name_H-M 'P 1'
_symmetry_Int_Tables_number 1
_cell_length_a 4.003
_cell_length_b 4.003
_cell_length_c 5.905
_cell_angle_alpha 109.81
_cell_angle_beta 109.81
_cell_angle_gamma 90.00
loop_
_symmetry_equiv_pos_as_xyz
'x,y,z'
loop_
_atom_site_label
_atom_site_type_symbol
_atom_site_fract_x
_atom_site_fract_y
_atom_site_fract_z
Ir1 Ir 0.250 0.750 0.500
Si1 Si 0.387 0.387 0.775
Si2 Si 0.613 0.613 0.225
Pd1 Pd 0.750 0.250 0.500
U1 U 0.000 0.000 0.000